Compound: TcAgRu2
Source: Alexandria
Functional: PBEsol
Structure: relaxed

ΔE_f ... 0.7053 eV/atom
VASP energy ... -32.10 eV/cell

```
data_TcAgRu2
_symmetry_space_group_name_H-M 'P m m m'
_symmetry_Int_Tables_number 47
_symmetry_space_group_name_Hall '-P 2 2'
_cell_length_a 2.749
_cell_length_b 4.514
_cell_length_c 4.630
_cell_angle_alpha 90.00
_cell_angle_beta 90.00
_cell_angle_gamma 90.00
loop_
_atom_site_label
_atom_site_type_symbol
_atom_site_fract_x
_atom_site_fract_y
_atom_site_fract_z
Tc1 Tc 0.000 0.000 0.000
Ag1 Ag 0.500 0.000 0.500
Ru1 Ru 0.000 0.500 0.500
Ru2 Ru 0.500 0.500 0.000
```

***

Compound: KPtN
Source: Alexandria
Functional: PBEsol
Structure: relaxed

Energy relative to the elements, uncorrected ... -36 kJ/mol of formula units
VASP energy ... -33.99 eV/cell

```
data_KPtN
_symmetry_space_group_name_H-M 'P 42/m m c'
_symmetry_Int_Tables_number 131
_symmetry_space_group_name_Hall '-P 4c 2'
_cell_length_a 3.673
_cell_length_b 3.673
_cell_length_c 9.070
_cell_angle_alpha 90.00
_cell_angle_beta 90.00
_cell_angle_gamma 90.00
loop_
_atom_site_label
_atom_site_type_symbol
_atom_site_fract_x
_atom_site_fract_y
_atom_site_fract_z
K1 K 0.000 0.000 0.250
Pt1 Pt 0.500 0.500 0.000
N1 N 0.000 0.500 0.000
```

***

Compound: Br3Cl4
Source: Alexandria
Functional: PBEsol
Structure: relaxed

Energy relative to the elements, uncorrected ... 308 kJ/mol of formula units
VASP energy ... -10.45 eV/cell

```
data_Br3Cl4
_symmetry_space_group_name_H-M 'P 6/m m m'
_symmetry_Int_Tables_number 191
_symmetry_space_group_name_Hall '-P 6 2'
_cell_length_a 6.2248
_cell_length_b 6.2248
_cell_length_c 4.8648
_cell_angle_alpha 90.00
_cell_angle_beta 90.00
_cell_angle_gamma 120.00
loop_
_atom_site_label
_atom_site_type_symbol
_atom_site_fract_x
_atom_site_fract_y
_atom_site_fract_z
Br1 Br 0.0000 0.5000 0.0000
Cl1 Cl 0.0000 0.0000 0.2984
Cl2 Cl 0.3333 0.6667 0.5000
```

***

Compound: LiSb3P6O20
Source: Alexandria
Functional: PBEsol
Structure: relaxed

Energy relative to the elements, uncorrected ... -5679 kJ/mol of formula units
VASP energy ... -856.93 eV/cell

```
data_LiSb3P6O20
_symmetry_space_group_name_H-M 'C 2 2 21'
_symmetry_Int_Tables_number 20
_symmetry_space_group_name_Hall 'C 2c 2'
_cell_length_a 9.607
_cell_length_b 13.646
_cell_length_c 12.826
_cell_angle_alpha 90.00
_cell_angle_beta 90.00
_cell_angle_gamma 90.00
loop_
_atom_site_label
_atom_site_type_symbol
_atom_site_fract_x
_atom_site_fract_y
_atom_site_fract_z
Li1 Li 0.017 0.000 0.000
Sb1 Sb 0.000 0.222 0.750
Sb2 Sb 0.000 0.250 0.250
Sb3 Sb 0.118 0.500 0.000
P1 P 0.032 0.290 0.514
P2 P 0.238 0.438 0.215
P3 P 0.246 0.110 0.145
O1 O 0.043 0.199 0.583
O2 O 0.086 0.273 0.405
O3 O 0.112 0.079 0.097
O4 O 0.112 0.339 0.976
O5 O 0.114 0.372 0.196
O6 O 0.135 0.107 0.768
O7 O 0.136 0.376 0.559
O8 O 0.182 0.481 0.706
O9 O 0.225 0.011 0.609
O10 O 0.245 0.197 0.218
```

***

Compound: MgPtRh
Source: Alexandria
Functional: PBEsol
Structure: relaxed

ΔE_f ... 0.0473 eV/atom
VASP energy ... -66.71 eV/cell

```
data_MgPtRh
_symmetry_space_group_name_H-M 'F -4 3 m'
_symmetry_Int_Tables_number 216
_symmetry_space_group_name_Hall 'F -4 2 3'
_cell_length_a 6.002
_cell_length_b 6.002
_cell_length_c 6.002
_cell_angle_alpha 90.00
_cell_angle_beta 90.00
_cell_angle_gamma 90.00
loop_
_atom_site_label
_atom_site_type_symbol
_atom_site_fract_x
_atom_site_fract_y
_atom_site_fract_z
Mg1 Mg 0.000 0.000 0.000
Pt1 Pt 0.250 0.250 0.250
Rh1 Rh 0.000 0.000 0.500
```

***

Compound: SrNiF2
Source: Alexandria
Functional: PBEsol
Structure: relaxed

Energy relative to the elements, uncorrected ... -517 kJ/mol of formula units
VASP energy ... -51.64 eV/cell

```
data_SrNiF2
_symmetry_space_group_name_H-M 'R -3 m'
_symmetry_Int_Tables_number 166
_symmetry_space_group_name_Hall '-R 3 2"'
_cell_length_a 3.7159
_cell_length_b 3.7159
_cell_length_c 17.5030
_cell_angle_alpha 90.00
_cell_angle_beta 90.00
_cell_angle_gamma 120.00
loop_
_atom_site_label
_atom_site_type_symbol
_atom_site_fract_x
_atom_site_fract_y
_atom_site_fract_z
Sr1 Sr 0.0000 0.0000 0.0000
Ni1 Ni 0.0000 0.0000 0.5000
F1 F 0.0000 0.0000 0.1304
```

***

Compound: TiAgTeO2
Source: Alexandria
Functional: PBEsol
Structure: relaxed

Energy relative to the elements, uncorrected ... -544 kJ/mol of formula units
VASP energy ... -31.29 eV/cell

```
data_TiAgTeO2
_symmetry_space_group_name_H-M 'P 4/m m m'
_symmetry_Int_Tables_number 123
_symmetry_space_group_name_Hall '-P 4 2'
_cell_length_a 3.781
_cell_length_b 3.781
_cell_length_c 6.333
_cell_angle_alpha 90.00
_cell_angle_beta 90.00
_cell_angle_gamma 90.00
loop_
_atom_site_label
_atom_site_type_symbol
_atom_site_fract_x
_atom_site_fract_y
_atom_site_fract_z
Ti1 Ti 0.000 0.000 0.000
Ag1 Ag 0.000 0.000 0.500
Te1 Te 0.500 0.500 0.500
O1 O 0.000 0.500 0.000
```

***

Compound: AlCd3P
Source: Alexandria
Functional: PBEsol
Structure: relaxed

ΔE_f ... 0.8305 eV/atom
VASP energy ... -9.32 eV/cell

```
data_AlCd3P
_symmetry_space_group_name_H-M 'P m -3 m'
_symmetry_Int_Tables_number 221
_symmetry_space_group_name_Hall '-P 4 2 3'
_cell_length_a 5.048
_cell_length_b 5.048
_cell_length_c 5.048
_cell_angle_alpha 90.00
_cell_angle_beta 90.00
_cell_angle_gamma 90.00
loop_
_atom_site_label
_atom_site_type_symbol
_atom_site_fract_x
_atom_site_fract_y
_atom_site_fract_z
Al1 Al 0.000 0.000 0.000
Cd1 Cd 0.000 0.000 0.500
P1 P 0.500 0.500 0.500
```